# TeHRu3

An optimized crystal structure of TeHRu3 (GGA-PBE, Alexandria).

Cell and atoms, written as POSCAR:
```
TeHRu3
1.0
-3.4731 -1.6232 1.1338
1.2671 -0.0630 3.7913
-1.5215 3.6530 0.5692
Ru Te H
3 1 1
Direct
0.5000 0.0000 0.0000
0.0000 0.5000 0.0000
0.0000 0.0000 0.5000
0.5000 0.5000 0.5000
0.0000 0.0000 0.0000
```

Excess energy over the best structure of this formula in the dataset (eV/atom): 0.0000

=====

# Te2HRu

An optimized crystal structure of Te2HRu (GGA-PBE, Alexandria).

Cell and atoms, written as POSCAR:
```
Te2HRu
1.0
-2.0338 -2.5539 -6.0604
-4.2327 -4.3995 -3.1806
-5.2359 -0.6590 -4.4202
H Ru Te
1 1 2
Direct
0.0000 0.0000 0.0000
0.5000 0.5000 0.5000
0.1014 0.1014 0.1014
0.8986 0.8986 0.8986
```

Excess energy over the best structure of this formula in the dataset (eV/atom): 0.0000

=====

# Te3HRu

An optimized crystal structure of Te3HRu (GGA-PBE, Alexandria).

Cell and atoms, written as POSCAR:
```
Te3HRu
1.0
4.5734 0.0000 0.0000
0.0000 4.5734 0.0000
0.0000 0.0000 4.5734
Te H Ru
3 1 1
Direct
0.5000 0.0000 0.0000
0.0000 0.5000 0.0000
0.0000 0.0000 0.5000
0.0000 0.0000 0.0000
0.5000 0.5000 0.5000
```

Excess energy over the best structure of this formula in the dataset (eV/atom): 0.0702